#P
DFT (PBE) results for LiTlSe2Br after structural relaxation.

The total magnetization comes out at 0.00 μB per formula unit. The volume comes out at 144.12 Å³ per cell.

The space group is P4/mmm (No. 123) and the conventional cell measures 4.5876, 4.5876 and 6.8479 Å, with angles of 90.00, 90.00 and 90.00 degrees. The asymmetric unit holds Li at (0.0000, 0.0000, 0.0000), Tl at (0.5000, 0.5000, 0.5000), Se at (0.0000, 0.5000, 0.0000) and Br at (0.0000, 0.0000, 0.5000).



#Q
DFT (PBE) results for LiTlSe2Br after structural relaxation.

The total magnetization comes out at 0.73 μB per formula unit. The volume comes out at 172.26 Å³ per cell.

The space group is P4/mmm (No. 123) and the conventional cell measures 5.3825, 5.3825 and 5.9458 Å, with angles of 90.00, 90.00 and 90.00 degrees. The asymmetric unit holds Li at (0.0000, 0.0000, 0.0000), Tl at (0.5000, 0.5000, 0.5000), Se at (0.0000, 0.5000, 0.5000) and Br at (0.5000, 0.5000, 0.0000).



Verdict on stability: #P comes out on top.



#P
DFT (PBE) results for LiWSeBr2 after structural relaxation.

The total magnetization comes out at 1.67 μB per formula unit. The volume comes out at 138.85 Å³ per cell.

The space group is P4/mmm (No. 123) and the conventional cell measures 5.3532, 5.3532 and 4.8455 Å, with angles of 90.00, 90.00 and 90.00 degrees. The asymmetric unit holds Li at (0.0000, 0.0000, 0.0000), W at (0.5000, 0.5000, 0.5000), Se at (0.5000, 0.5000, 0.0000) and Br at (0.0000, 0.5000, 0.5000).



#Q
DFT (PBE) results for LiWSeBr2 after structural relaxation.

The total magnetization comes out at 2.99 μB per formula unit. The volume comes out at 110.12 Å³ per cell.

The space group is P4/mmm (No. 123) and the conventional cell measures 4.6655, 4.6655 and 5.0593 Å, with angles of 90.00, 90.00 and 90.00 degrees. The asymmetric unit holds Li at (0.0000, 0.0000, 0.0000), W at (0.5000, 0.5000, 0.5000), Se at (0.0000, 0.0000, 0.5000) and Br at (0.0000, 0.5000, 0.0000).



Verdict on stability: #P comes out on top.



#P
DFT (PBE) results for LiYSe2Br after structural relaxation.

The total magnetization comes out at 0.32 μB per formula unit. The volume comes out at 170.56 Å³ per cell.

The space group is P4/mmm (No. 123) and the conventional cell measures 5.4787, 5.4787 and 5.6823 Å, with angles of 90.00, 90.00 and 90.00 degrees. The asymmetric unit holds Li at (0.0000, 0.0000, 0.0000), Y at (0.5000, 0.5000, 0.5000), Se at (0.0000, 0.5000, 0.5000) and Br at (0.5000, 0.5000, 0.0000).



#Q
DFT (PBE) results for LiYSe2Br after structural relaxation.

The total magnetization comes out at 0.00 μB per formula unit. The volume comes out at 111.84 Å³ per cell.

The space group is P4/mmm (No. 123) and the conventional cell measures 4.7894, 4.7894 and 4.8756 Å, with angles of 90.00, 90.00 and 90.00 degrees. The asymmetric unit holds Li at (0.0000, 0.0000, 0.0000), Y at (0.5000, 0.5000, 0.5000), Se at (0.0000, 0.5000, 0.0000) and Br at (0.0000, 0.0000, 0.5000).



Verdict on stability: #P comes out on top.



#P
DFT (PBE) results for LiZnSe2Br after structural relaxation.

The total magnetization comes out at 0.00 μB per formula unit. The volume comes out at 133.47 Å³ per cell.

The space group is P4/mmm (No. 123) and the conventional cell measures 4.3622, 4.3622 and 7.0141 Å, with angles of 90.00, 90.00 and 90.00 degrees. The asymmetric unit holds Li at (0.0000, 0.0000, 0.0000), Zn at (0.5000, 0.5000, 0.5000), Se at (0.0000, 0.5000, 0.0000) and Br at (0.0000, 0.0000, 0.5000).



#Q
DFT (PBE) results for LiZnSe2Br after structural relaxation.

The total magnetization comes out at 0.20 μB per formula unit. The volume comes out at 136.57 Å³ per cell.

The space group is P4/mmm (No. 123) and the conventional cell measures 4.8221, 4.8221 and 5.8733 Å, with angles of 90.00, 90.00 and 90.00 degrees. The asymmetric unit holds Li at (0.0000, 0.0000, 0.0000), Zn at (0.5000, 0.5000, 0.5000), Se at (0.0000, 0.5000, 0.5000) and Br at (0.5000, 0.5000, 0.0000).



Verdict on stability: #Q comes out on top.



#P
DFT (PBE) results for LiZrSe2Br after structural relaxation.

The total magnetization comes out at 0.00 μB per formula unit. The volume comes out at 148.93 Å³ per cell.

The space group is P4/mmm (No. 123) and the conventional cell measures 5.2389, 5.2389 and 5.4264 Å, with angles of 90.00, 90.00 and 90.00 degrees. The asymmetric unit holds Li at (0.0000, 0.0000, 0.0000), Zr at (0.5000, 0.5000, 0.5000), Se at (0.0000, 0.5000, 0.5000) and Br at (0.5000, 0.5000, 0.0000).



#Q
DFT (PBE) results for LiZrSe2Br after structural relaxation.

The total magnetization comes out at 0.25 μB per formula unit. The volume comes out at 318.06 Å³ per cell.

The space group is P4/mmm (No. 123) and the conventional cell measures 5.0590, 5.0590 and 12.4275 Å, with angles of 90.00, 90.00 and 90.00 degrees. The asymmetric unit holds Li at (0.0000, 0.0000, 0.0000), Zr at (0.0000, 0.0000, 0.5000), Se at (0.0000, 0.5000, 0.5000) and Br at (0.5000, 0.5000, 0.0000).



#R
DFT (PBE) results for LiZrSe2Br after structural relaxation.

The total magnetization comes out at 0.00 μB per formula unit. The volume comes out at 104.74 Å³ per cell.

The space group is P4/mmm (No. 123) and the conventional cell measures 4.7938, 4.7938 and 4.5576 Å, with angles of 90.00, 90.00 and 90.00 degrees. The asymmetric unit holds Li at (0.0000, 0.0000, 0.0000), Zr at (0.5000, 0.5000, 0.5000), Se at (0.0000, 0.5000, 0.0000) and Br at (0.0000, 0.0000, 0.5000).



Verdict on stability: #P comes out on top.



#P
DFT (PBE) results for LiSiBr2 after structural relaxation.

The total magnetization comes out at 0.00 μB per formula unit. The volume comes out at 211.75 Å³ per cell.

The space group is C2/m (No. 12) and the conventional cell measures 7.6711, 7.6757 and 3.5965 Å, with angles of 90.00, 90.83 and 90.00 degrees. The asymmetric unit holds Li at (0.0000, 0.0000, 0.0000), Si at (0.0000, 0.5000, 0.0000) and Br at (0.2500, 0.2500, 0.0000).



#Q
DFT (PBE) results for LiSiBr2 after structural relaxation.

The total magnetization comes out at 0.00 μB per formula unit. The volume comes out at 268.65 Å³ per cell.

The space group is R-3m (No. 166, hexagonal axes) and the conventional cell measures 3.6321, 3.6321 and 23.5151 Å, with angles of 90.00, 90.00 and 120.00 degrees. The asymmetric unit holds Li at (0.0000, 0.0000, 0.0000), Si at (0.0000, 0.0000, 0.5000) and Br at (0.0000, 0.0000, 0.2636).



Verdict on stability: #P comes out on top.



#P
DFT (PBE) results for LiSiBr2 after structural relaxation.

The total magnetization comes out at 1.00 μB per formula unit. The volume comes out at 243.99 Å³ per cell.

The space group is Imm2 (No. 44) and the conventional cell measures 3.7326, 3.7855 and 17.2679 Å, with angles of 90.00, 90.00 and 90.00 degrees. The asymmetric unit holds Li at (0.0000, 0.0000, 0.0000), Si at (0.0000, 0.5000, 0.2884), Br at (0.0000, 0.0000, 0.5033) and Br at (0.0000, 0.5000, 0.7441).



#Q
DFT (PBE) results for LiSiBr2 after structural relaxation.

The total magnetization comes out at 0.98 μB per formula unit. The volume comes out at 234.92 Å³ per cell.

The space group is Immm (No. 71) and the conventional cell measures 3.8439, 7.7547 and 7.8810 Å, with angles of 90.00, 90.00 and 90.00 degrees. The asymmetric unit holds Li at (0.0000, 0.0000, 0.0000), Si at (0.0000, 0.5000, 0.0000) and Br at (0.0000, 0.2615, 0.5000).



#R
DFT (PBE) results for LiSiBr2 after structural relaxation.

The total magnetization comes out at 0.02 μB per formula unit. The volume comes out at 95.87 Å³ per cell.

The space group is Pmm2 (No. 25) and the conventional cell measures 3.7018, 4.3413 and 5.9652 Å, with angles of 90.00, 90.00 and 90.00 degrees. The asymmetric unit holds Li at (0.0000, 0.0000, 0.0000), Si at (0.5000, 0.5000, 0.4605), Br at (0.0000, 0.0000, 0.4553) and Br at (0.5000, 0.5000, 0.9601).



Verdict on stability: #R comes out on top.



#P
DFT (PBE) results for LiSiBr2 after structural relaxation.

The total magnetization comes out at 0.07 μB per formula unit. The volume comes out at 99.69 Å³ per cell.

The space group is P2/m (No. 10) and the conventional cell measures 3.5975, 3.7835 and 7.5348 Å, with angles of 90.00, 103.59 and 90.00 degrees. The asymmetric unit holds Li at (0.0000, 0.0000, 0.0000), Si at (0.0000, 0.0000, 0.5000) and Br at (0.1709, 0.5000, 0.7781).



#Q
DFT (PBE) results for LiSiBr2 after structural relaxation.

The total magnetization comes out at 0.00 μB per formula unit. The volume comes out at 358.03 Å³ per cell.

The space group is Fm-3m (No. 225) and the conventional cell measures 7.1008, 7.1008 and 7.1008 Å, with angles of 90.00, 90.00 and 90.00 degrees. The asymmetric unit holds Li at (0.0000, 0.0000, 0.0000), Si at (0.0000, 0.0000, 0.5000) and Br at (0.2500, 0.2500, 0.2500).



Verdict on stability: #P comes out on top.



#P
DFT (PBE) results for LiSiBr2 after structural relaxation.

The total magnetization comes out at 0.00 μB per formula unit. The volume comes out at 292.96 Å³ per cell.

The space group is R-3m (No. 166, hexagonal axes) and the conventional cell measures 3.6841, 3.6841 and 24.9239 Å, with angles of 90.00, 90.00 and 120.00 degrees. The asymmetric unit holds Li at (0.0000, 0.0000, 0.0000), Si at (0.0000, 0.0000, 0.5000) and Br at (0.0000, 0.0000, 0.3965).



#Q
DFT (PBE) results for LiSiBr2 after structural relaxation.

The total magnetization comes out at 0.00 μB per formula unit. The volume comes out at 124.72 Å³ per cell.

The space group is P4mm (No. 99) and the conventional cell measures 3.6306, 3.6306 and 9.4619 Å, with angles of 90.00, 90.00 and 90.00 degrees. The asymmetric unit holds Li at (0.0000, 0.0000, 0.0000), Si at (0.5000, 0.5000, 0.4859), Br at (0.0000, 0.0000, 0.5978) and Br at (0.5000, 0.5000, 0.9985).



#R
DFT (PBE) results for LiSiBr2 after structural relaxation.

The total magnetization comes out at 0.00 μB per formula unit. The volume comes out at 191.63 Å³ per cell.

The space group is Cmmm (No. 65) and the conventional cell measures 3.7219, 6.4626 and 7.9670 Å, with angles of 90.00, 90.00 and 90.00 degrees. The asymmetric unit holds Li at (0.0000, 0.0000, 0.0000), Si at (0.0000, 0.0000, 0.5000) and Br at (0.0000, 0.5000, 0.2261).



Verdict on stability: #P comes out on top.



#P
DFT (PBE) results for LiSiBr2 after structural relaxation.

The total magnetization comes out at 0.93 μB per formula unit. The volume comes out at 119.75 Å³ per cell.

The space group is Pmmm (No. 47) and the conventional cell measures 3.8444, 3.8730 and 8.0426 Å, with angles of 90.00, 90.00 and 90.00 degrees. The asymmetric unit holds Li at (0.0000, 0.0000, 0.0000), Si at (0.5000, 0.0000, 0.5000), Br at (0.0000, 0.5000, 0.5000) and Br at (0.5000, 0.5000, 0.0000).



#Q
DFT (PBE) results for LiSiBr2 after structural relaxation.

The total magnetization comes out at 0.00 μB per formula unit. The volume comes out at 204.40 Å³ per cell.

The space group is Cm (No. 8) and the conventional cell measures 11.4887, 3.6691 and 4.8496 Å, with angles of 90.00, 90.86 and 90.00 degrees. The asymmetric unit holds Li at (0.0000, 0.0000, 0.0000), Si at (0.2960, 0.0000, 0.6471), Br at (0.0217, 0.5000, 0.6509) and Br at (0.2973, 0.5000, 0.1699).



#R
DFT (PBE) results for LiSiBr2 after structural relaxation.

The total magnetization comes out at 1.00 μB per formula unit. The volume comes out at 411.28 Å³ per cell.

The space group is I-42d (No. 122) and the conventional cell measures 7.2574, 7.2574 and 7.8085 Å, with angles of 90.00, 90.00 and 90.00 degrees. The asymmetric unit holds Li at (0.0000, 0.0000, 0.0000), Si at (0.0000, 0.0000, 0.5000) and Br at (0.2223, 0.7500, 0.1250).



#S
DFT (PBE) results for LiSiBr2 after structural relaxation.

The total magnetization comes out at 0.26 μB per formula unit. The volume comes out at 310.14 Å³ per cell.

The space group is R3m (No. 160, hexagonal axes) and the conventional cell measures 3.7631, 3.7631 and 25.2891 Å, with angles of 90.00, 90.00 and 120.00 degrees. The asymmetric unit holds Li at (0.0000, 0.0000, 0.0000), Si at (0.0000, 0.0000, 0.2476), Br at (0.0000, 0.0000, 0.5136) and Br at (0.0000, 0.0000, 0.7040).



Verdict on stability: #Q comes out on top.



#P
DFT (PBE) results for LiSiBr2 after structural relaxation.

The total magnetization comes out at 0.67 μB per formula unit. The volume comes out at 387.40 Å³ per cell.

The space group is F-43m (No. 216) and the conventional cell measures 7.2899, 7.2899 and 7.2899 Å, with angles of 90.00, 90.00 and 90.00 degrees. The asymmetric unit holds Li at (0.0000, 0.0000, 0.0000), Si at (0.2500, 0.2500, 0.2500), Br at (0.0000, 0.0000, 0.5000) and Br at (0.2500, 0.2500, 0.7500).



#Q
DFT (PBE) results for LiSiBr2 after structural relaxation.

The total magnetization comes out at 0.00 μB per formula unit. The volume comes out at 87.68 Å³ per cell.

The space group is P4/mmm (No. 123) and the conventional cell measures 5.0326, 5.0326 and 3.4620 Å, with angles of 90.00, 90.00 and 90.00 degrees. The asymmetric unit holds Li at (0.0000, 0.0000, 0.0000), Si at (0.5000, 0.5000, 0.0000) and Br at (0.0000, 0.5000, 0.5000).



Verdict on stability: #Q comes out on top.